Entry from Alexandria via LeMat-Bulk: an optimized crystal structure of TcAu3 (PBE).

Cell lengths 4.8072, 4.9131, 5.9564 Å; angles 90.00, 90.00, 90.00 degrees
Last column: nearest neighbours and their distance in Å.
Positions (direct):
Au1 0.0000 0.8300 0.7502  8 Au 2.84-2.98, 4 Tc 2.87-2.94
Au2 0.0000 0.3392 0.5000  8 Au 2.84-2.95, 4 Tc 2.90-2.98
Tc1 0.0000 0.3311 0.0000  12 Au 2.87-2.98
Au3 0.5000 0.6608 0.0000  8 Au 2.84-2.95, 4 Tc 2.90-2.98
Tc2 0.5000 0.6689 0.5000  12 Au 2.87-2.98
Au4 0.5000 0.1700 0.2502  8 Au 2.84-2.98, 4 Tc 2.87-2.94
Au5 0.5000 0.1700 0.7498  8 Au 2.84-2.98, 4 Tc 2.87-2.94
Au6 0.0000 0.8300 0.2498  8 Au 2.84-2.98, 4 Tc 2.87-2.94

## Properties
The calculation puts the electronic total energy at -18.73 eV/f.u. The calculation puts the calculated formation energy at 0.3671 eV/atom.



Entry from Alexandria via LeMat-Bulk: an optimized crystal structure of Zr2Ag3Hg3 (PBE).

Cell lengths 4.8401, 4.8401, 8.4008 Å; angles 73.26, 73.26, 60.00 degrees
Last column: nearest neighbours and their distance in Å.
Positions (direct):
Zr1 0.9998 0.9998 0.0005  5 Hg 2.92-2.98, 3 Ag 2.97
Ag1 0.2511 0.2511 0.2468  5 Hg 2.90-2.99, 3 Ag 2.95
Ag2 0.6247 0.6247 0.1259  4 Ag 2.94-2.95, 4 Zr 2.95-2.97
Hg1 0.8770 0.8770 0.3690  4 Zr 2.92-2.98, 4 Ag 2.96-3.05
Hg2 0.3732 0.3732 0.8805  4 Ag 2.90-2.97, 4 Zr 2.95-3.03
Zr2 0.5004 0.5004 0.4987  1 Ag 2.95, 7 Hg 2.97-3.03
Ag3 0.7485 0.7485 0.7545  1 Ag 2.94, 7 Hg 2.97-3.05
Hg3 0.1253 0.1253 0.6241  4 Zr 2.97-2.98, 4 Ag 2.98-2.99

## Properties
The calculation puts the electronic total energy at -27.01 eV/f.u. The calculation puts the calculated formation energy at -0.0568 eV/atom.



Entry from Alexandria via LeMat-Bulk: an optimized crystal structure of Cs2Li2NpS4 (PBE).

Cell lengths 4.1766, 7.9929, 7.8474 Å; angles 108.03, 105.43, 90.00 degrees
Last column: nearest neighbours and their distance in Å.
Positions (direct):
Np1 0.0000 0.0000 0.0000  6 S 2.70-2.75
Li1 0.3197 0.0136 0.6395  4 S 2.42-2.53
Cs1 0.1397 0.5648 0.2794  7 S 3.56-3.71, 3 Li 3.74-3.84
Li2 0.6803 0.9864 0.3605  4 S 2.42-2.53
S1 0.8121 0.8556 0.6242  3 Li 2.42-2.53, 1 Np 2.70
S2 0.1879 0.1444 0.3758  3 Li 2.42-2.53, 1 Np 2.70
Cs2 0.8603 0.4352 0.7206  7 S 3.56-3.71, 3 Li 3.74-3.84
S3 0.4823 0.2099 0.9645  1 Li 2.46, 2 Np 2.75
S4 0.5177 0.7901 0.0355  1 Li 2.46, 2 Np 2.75

## Properties
The raw formation energy comes out at -1337 meV per atom. The calculation puts the electronic total energy at -47.02 eV/f.u.



Entry from Alexandria via LeMat-Bulk: an optimized crystal structure of KVRh2 (PBE).

Cell lengths 4.5701, 4.5701, 4.5701 Å; angles 60.00, 60.00, 60.00 degrees
Last column: nearest neighbours and their distance in Å.
Positions (direct):
Rh1 0.7500 0.7500 0.7500  4 K 2.80, 4 V 2.80
K1 0.0000 0.0000 0.0000  8 Rh 2.80
V1 0.5000 0.5000 0.5000  8 Rh 2.80
Rh2 0.2500 0.2500 0.2500  4 V 2.80, 4 K 2.80

## Properties
The calculation puts the electronic total energy at -21.92 eV/f.u. The calculation puts the calculated formation energy at 0.7492 eV/atom. Its energy above the most stable polymorph in this dataset is 0.156 eV/atom.



Entry from Alexandria via LeMat-Bulk: an optimized crystal structure of MgSnPb3 (PBE).

Cell lengths 5.5127, 5.5127, 5.5127 Å; angles 90.00, 90.00, 90.00 degrees
Last column: nearest neighbours and their distance in Å.
Positions (direct):
Pb1 0.0000 0.5000 0.0000  2 Mg 2.76
Sn1 0.5000 0.5000 0.5000  12 Pb 3.90
Pb2 0.5000 0.0000 0.0000  2 Mg 2.76
Pb3 0.0000 0.0000 0.5000  2 Mg 2.76
Mg1 0.0000 0.0000 0.0000  6 Pb 2.76

## Properties
The calculation puts the electronic total energy at -14.71 eV/f.u. The calculation puts the calculated formation energy at 0.4025 eV/atom. Its energy above the most stable polymorph in this dataset is 0.380 eV/atom.



Entry from Alexandria via LeMat-Bulk: an optimized crystal structure of Sc2Cd (PBE).

Cell lengths 5.8748, 5.8748, 5.8748 Å; angles 60.00, 60.00, 60.00 degrees
Last column: nearest neighbours and their distance in Å.
Positions (direct):
Cd1 0.7500 0.7500 0.7500  12 Sc 3.44, 4 Cd 3.60
Cd2 0.5000 0.5000 0.5000  12 Sc 3.44, 4 Cd 3.60
Sc1 0.1250 0.1250 0.6250  6 Sc 2.94
Sc2 0.6250 0.1250 0.1250  6 Sc 2.94
Sc3 0.1250 0.6250 0.1250  6 Sc 2.94
Sc4 0.1250 0.1250 0.1250  6 Sc 2.94

## Properties
The calculation puts the electronic total energy at -13.02 eV/f.u. The calculation puts the calculated formation energy at 0.1867 eV/atom.



Entry from Alexandria via LeMat-Bulk: an optimized crystal structure of Sr4CaMg5 (PBE).

Cell lengths 4.1204, 4.1204, 20.8752 Å; angles 90.00, 90.00, 90.00 degrees
Last column: nearest neighbours and their distance in Å.
Positions (direct):
Sr1 0.0000 0.0000 0.6025  8 Mg 3.61-3.62
Mg1 0.5000 0.5000 0.7055  8 Sr 3.61-3.62
Mg2 0.5000 0.5000 0.9120  4 Ca 3.44, 4 Sr 3.64, 1 Mg 3.67
Sr2 0.0000 0.0000 0.8077  8 Mg 3.61-3.64, 1 Ca 4.01
Sr3 0.0000 0.0000 0.3975  8 Mg 3.61-3.62
Mg3 0.5000 0.5000 0.0880  4 Ca 3.44, 4 Sr 3.64, 1 Mg 3.67
Ca1 0.0000 0.0000 0.0000  8 Mg 3.44
Mg4 0.5000 0.5000 0.5000  8 Sr 3.61
Mg5 0.5000 0.5000 0.2945  8 Sr 3.61-3.62
Sr4 0.0000 0.0000 0.1923  8 Mg 3.61-3.64, 1 Ca 4.01

## Properties
The calculation puts the electronic total energy at -17.30 eV/f.u. The calculation puts the calculated formation energy at -0.0600 eV/atom.



Entry from Alexandria via LeMat-Bulk: an optimized crystal structure of Li4In3Pd4 (PBE).

Cell lengths 2.9603, 4.4601, 14.2022 Å; angles 80.90, 77.83, 90.12 degrees
Last column: nearest neighbours and their distance in Å.
Positions (direct):
Pd1 0.3070 0.9013 0.1954  2 Li 2.64-2.65, 4 In 2.85, 2 Pd 2.96
Pd2 0.0636 0.2826 0.4360  6 Li 2.71-2.73, 2 In 2.75, 4 Pd 2.83-2.96
Pd3 0.6930 0.0987 0.8046  2 Li 2.64-2.65, 4 In 2.85, 2 Pd 2.96
Li1 0.3982 0.1989 0.6016  6 Pd 2.71-2.73, 2 In 2.86-2.87, 2 Li 2.96
In1 0.7346 0.3650 0.2672  6 Pd 2.75-2.85, 4 Li 2.83-2.87, 2 In 2.96
Li2 0.4114 0.4532 0.0913  1 Li 2.50, 2 Pd 2.64-2.65
Li3 0.6018 0.8011 0.3984  6 Pd 2.71-2.73, 2 In 2.86-2.87, 2 Li 2.96
In2 0.0000 0.0000 0.0000  8 Li 2.95-2.97, 2 In 2.96, 4 Pd 3.05-3.07
Pd4 0.9364 0.7174 0.5640  6 Li 2.71-2.73, 2 In 2.75, 4 Pd 2.83-2.96
In3 0.2653 0.6350 0.7328  6 Pd 2.75-2.85, 4 Li 2.83-2.87, 2 In 2.96
Li4 0.5886 0.5469 0.9087  1 Li 2.50, 2 Pd 2.64-2.65

## Properties
The calculation puts the electronic total energy at -41.39 eV/f.u. The calculation puts the calculated formation energy at -0.4319 eV/atom. Its energy above the most stable polymorph in this dataset is 0.013 eV/atom.



Entry from Alexandria via LeMat-Bulk: an optimized crystal structure of Ca4Ag2PtPb (PBE).

Cell lengths 5.2252, 5.2252, 9.0500 Å; angles 73.22, 73.22, 60.00 degrees
Last column: nearest neighbours and their distance in Å.
Positions (direct):
Ca1 0.8684 0.8684 0.3948  3 Pt 3.15, 4 Ag 3.16-3.31, 1 Pb 3.37, 3 Ca 3.51
Ca2 0.1316 0.1316 0.6052  3 Pt 3.15, 4 Ag 3.16-3.31, 1 Pb 3.37, 3 Ca 3.51
Ca3 0.6159 0.6159 0.1524  1 Pt 2.97, 4 Ag 3.10-3.30, 3 Pb 3.29
Ag1 0.7448 0.7448 0.7655  8 Ca 3.10-3.31
Ca4 0.3841 0.3841 0.8476  1 Pt 2.97, 4 Ag 3.10-3.30, 3 Pb 3.29
Ag2 0.2552 0.2552 0.2345  8 Ca 3.10-3.31
Pb1 0.0000 0.0000 0.0000  8 Ca 3.29-3.37, 6 Ag 3.62
Pt1 0.5000 0.5000 0.5000  8 Ca 2.97-3.15

## Properties
The calculation puts the electronic total energy at -27.85 eV/f.u. The calculation puts the calculated formation energy at -0.5492 eV/atom.



Entry from Alexandria via LeMat-Bulk: an optimized crystal structure of YBeIn (PBE).

Cell lengths 3.9897, 5.8838, 5.7748 Å; angles 93.62, 89.99, 70.19 degrees
Last column: nearest neighbours and their distance in Å.
Positions (direct):
In1 0.8288 0.8179 0.1020  3 Be 2.66-2.78
Y1 0.9583 0.5584 0.5562  3 Be 2.97-2.99, 1 In 3.07
In2 0.2344 0.0067 0.7552  3 Be 2.64-2.76
Be1 0.6551 0.1645 0.4730  2 Be 2.26-2.27
Y2 0.5474 0.3799 0.0423  3 Be 2.83-3.11, 3 In 3.14-3.15
Be2 0.2040 0.0674 0.3056  2 Be 2.26-2.27

## Properties
The calculation puts the electronic total energy at -13.36 eV/f.u. The calculation puts the calculated formation energy at -0.1438 eV/atom. Its energy above the most stable polymorph in this dataset is 0.124 eV/atom.



Entry from Alexandria via LeMat-Bulk: an optimized crystal structure of Zr3CoNi (PBE).

Cell lengths 5.3743, 5.3743, 7.8170 Å; angles 68.55, 68.55, 62.53 degrees
Last column: nearest neighbours and their distance in Å.
Positions (direct):
Ni1 0.7090 0.2910 0.5000  1 Ni 2.33, 2 Zr 2.53
Zr1 0.6987 0.6987 0.1395  4 Co 2.80-2.93, 2 Ni 2.87
Zr2 0.3021 0.3021 0.3351  2 Co 2.77, 4 Ni 2.89-2.99
Co1 0.7264 0.2736 0.0000  4 Zr 2.50-2.77, 1 Co 2.53
Co2 0.2736 0.7264 0.0000  4 Zr 2.50-2.77, 1 Co 2.53
Zr3 0.9956 0.9956 0.2546  2 Co 2.50, 2 Ni 2.53
Zr4 0.3013 0.3013 0.8605  4 Co 2.80-2.93, 2 Ni 2.87
Ni2 0.2910 0.7090 0.5000  1 Ni 2.33, 2 Zr 2.53
Zr5 0.0044 0.0044 0.7454  2 Co 2.50, 2 Ni 2.53
Zr6 0.6979 0.6979 0.6649  2 Co 2.77, 4 Ni 2.89-2.99

## Properties
The calculation puts the electronic total energy at -39.80 eV/f.u. The calculation puts the calculated formation energy at -0.2528 eV/atom. Its energy above the most stable polymorph in this dataset is 0.000 eV/atom.



Entry from Alexandria via LeMat-Bulk: an optimized crystal structure of BaTaIn2 (PBE).

Cell lengths 11.3394, 11.3394, 11.3394 Å; angles 16.81, 16.81, 16.81 degrees
Last column: nearest neighbours and their distance in Å.
Positions (direct):
Ba1 0.7537 0.7537 0.7537  6 Ba 3.32, 3 Ta 3.54
In1 0.2462 0.2462 0.2462  3 Ta 3.04, 9 In 3.24-3.32
In2 0.9909 0.9909 0.9909  9 In 3.24-3.32
Ta1 0.5092 0.5092 0.5092  3 In 3.04, 6 Ta 3.32

## Properties
The calculation puts the electronic total energy at -17.17 eV/f.u. The calculation puts the calculated formation energy at 0.5200 eV/atom. Its energy above the most stable polymorph in this dataset is 0.356 eV/atom.



Look up the electronic total energy of the third one.
-47.02 eV/f.u.



Which of these has the highest electronic total energy?
Sc2Cd



The highest electronic total energy belongs to which entry?
Sc2Cd